Computed, not measured: an optimized crystal structure of Cs3YBr at the GGA-PBEsol level of DFT.

Computed properties:
The formation energy (no corrections) comes out at 1.6 eV/f.u.

Cell lengths 7.1535, 7.1535, 7.1535 Å; angles 90.00, 90.00, 90.00 degrees
Space group Pm-3m (No. 221)
Asymmetric unit:
Cs1 0.0000 0.0000 0.5000 x3
Y1 0.0000 0.0000 0.0000 x1
Br1 0.5000 0.5000 0.5000 x1

=====

Computed, not measured: an optimized crystal structure of Cs3YBr6 at the GGA-PBEsol level of DFT.

Computed properties:
The formation energy (no corrections) comes out at -18.1 eV/f.u.

Cell lengths 12.1607, 12.1607, 12.1607 Å; angles 90.00, 90.00, 90.00 degrees
Space group Fm-3m (No. 225)
Asymmetric unit:
Cs1 0.0000 0.0000 0.0000 x4
Cs2 0.2500 0.2500 0.2500 x8
Y1 0.0000 0.0000 0.5000 x4
Br1 0.0000 0.0000 0.2735 x24

=====

Computed, not measured: an optimized crystal structure of Cs2ZnBr2 at the GGA-PBEsol level of DFT.

Computed properties:
The formation energy (no corrections) comes out at -5.0 eV/f.u.

Cell lengths 6.6933, 6.6933, 12.5163 Å; angles 90.00, 90.00, 90.00 degrees
Space group I4/mmm (No. 139)
Asymmetric unit:
Cs1 0.0000 0.0000 0.1834 x4
Zn1 0.0000 0.0000 0.5000 x2
Br1 0.0000 0.5000 0.2500 x4

=====

Computed, not measured: an optimized crystal structure of CuBr2 at the GGA-PBEsol level of DFT.

Computed properties:
The formation energy (no corrections) comes out at -0.7 eV/f.u.

Cell lengths 3.4615, 7.3399, 12.4724 Å; angles 90.00, 90.00, 90.00 degrees
Space group Fmmm (No. 69)
Asymmetric unit:
Cu1 0.0000 0.0000 0.0000 x4
Br1 0.0000 0.0000 0.3694 x8

=====

Computed, not measured: an optimized crystal structure of CuBr2 at the GGA-PBEsol level of DFT.

Computed properties:
The formation energy (no corrections) comes out at -0.7 eV/f.u.

Cell lengths 12.8436, 3.4371, 9.1441 Å; angles 90.00, 131.07, 90.00 degrees
Space group C2/m (No. 12)
Asymmetric unit:
Cu1 0.2096 0.0000 0.2825 x4
Br1 0.0791 0.5000 0.2824 x4
Br2 0.1821 0.0000 0.7551 x4

=====

Computed, not measured: an optimized crystal structure of CuBr3 at the GGA-PBEsol level of DFT.

Computed properties:
The formation energy (no corrections) comes out at 2.7 eV/f.u.

Cell lengths 4.4844, 4.4844, 4.4844 Å; angles 90.00, 90.00, 90.00 degrees
Space group Pm-3m (No. 221)
Asymmetric unit:
Cu1 0.0000 0.0000 0.0000 x1
Br1 0.0000 0.5000 0.5000 x3

=====

Computed, not measured: an optimized crystal structure of CuBr2 at the GGA-PBEsol level of DFT.

Computed properties:
The formation energy (no corrections) comes out at -0.8 eV/f.u.

Cell lengths 3.4446, 7.0985, 12.2951 Å; angles 90.00, 90.00, 90.00 degrees
Space group Cmce (No. 64)
Asymmetric unit:
Cu1 0.0000 0.0000 0.0000 x4
Br1 0.0000 0.1119 0.3814 x8

=====

Computed, not measured: an optimized crystal structure of CuBr2 at the GGA-PBEsol level of DFT.

Computed properties:
The formation energy (no corrections) comes out at 0.4 eV/f.u.

Cell lengths 2.8132, 3.5137, 13.3279 Å; angles 90.00, 90.00, 90.00 degrees
Space group Immm (No. 71)
Asymmetric unit:
Cu1 0.0000 0.0000 0.0000 x2
Br1 0.0000 0.0000 0.3730 x4